# 1
## Tb3Fe2Ni7 (PBE-GGA)

Data for a geometry-optimized Tb3Fe2Ni7 structure.

Summary:
Size of the total moment   0.50 μB/atom
Formation enthalpy at 0 K   -0.337 eV per atom
Space group   R-3m, No. 166

Cell lengths 5.011, 5.011, 8.640 Å; angles 73.14, 73.14, 60.00 degrees
Site moments in Bohr magnetons follow the coordinates.
Positions (direct):
Ni  0.918  0.419  0.243  0.30
Fe  0.667  0.667  0.998  2.50
Tb  0.861  0.861  0.416  -0.15
Ni  0.581  0.581  0.757  0.30
Fe  0.333  0.333  0.002  2.50
Tb  0.139  0.139  0.584  -0.15
Ni  0.581  0.082  0.757  0.30
Ni  0.419  0.419  0.243  0.30
Tb  0.000  0.000  0.000  -0.17
Ni  0.082  0.581  0.757  0.30
Ni  0.500  0.500  0.500  0.04
Ni  0.419  0.918  0.243  0.30



# 2
## Y4Tm5Sc (PBE-GGA)

Data for a geometry-optimized Y4Tm5Sc structure.

Summary:
Size of the total moment   0.00 μB/atom
Formation enthalpy at 0 K   0.038 eV per atom
Excess energy over the best structure of this formula in the dataset   0 meV/atom
Space group   C2/m, No. 12

Cell lengths 3.504, 9.884, 9.261 Å; angles 105.54, 100.91, 90.00 degrees
Positions (direct):
Tm  0.300  0.400  0.601
Tm  0.500  0.500  0.000
Tm  0.700  0.600  0.399
Y  0.902  0.703  0.804
Tm  0.098  0.801  0.196
Tm  0.902  0.199  0.804
Sc  0.500  0.000  0.000
Y  0.301  0.900  0.601
Y  0.699  0.100  0.399
Y  0.098  0.297  0.196